Record 1
{"formula": "MgTiAgSn", "functional": "PBE", "state": "relaxed", "cell": [[-4.510, 0.965, -1.340], [-3.381, -3.395, 0.329], [-3.461, 0.371, 3.309]], "species": ["Sn", "Ti", "Mg", "Ag"], "fractional_positions": [[0.500, 0.500, 0.500], [0.750, 0.750, 0.750], [0.250, 0.250, 0.250], [0.000, 0.000, 0.000]], "dft_energy_ev_per_cell": -16.54, "formation_energy_mev_per_atom": -48, "sg": "F-43m, No. 216"}

=====

Record 2
{"formula": "PmEuDyLu", "functional": "PBE", "state": "relaxed", "cell": [[-4.387, -3.703, -0.120], [0.056, -4.399, -3.692], [0.714, -5.361, 1.931]], "species": ["Eu", "Pm", "Lu", "Dy"], "fractional_positions": [[0.000, 0.000, 0.000], [0.500, 0.500, 0.500], [0.250, 0.250, 0.250], [0.750, 0.750, 0.750]], "dft_energy_ev_per_cell": -23.55, "formation_energy_mev_per_atom": 149, "sg": "F-43m, No. 216"}

=====

What did the first record say?
{"formula": "MgTiAgSn", "functional": "PBE", "state": "relaxed", "cell": [[-4.510, 0.965, -1.340], [-3.381, -3.395, 0.329], [-3.461, 0.371, 3.309]], "species": ["Sn", "Ti", "Mg", "Ag"], "fractional_positions": [[0.500, 0.500, 0.500], [0.750, 0.750, 0.750], [0.250, 0.250, 0.250], [0.000, 0.000, 0.000]], "dft_energy_ev_per_cell": -16.54, "formation_energy_mev_per_atom": -48, "sg": "F-43m, No. 216"}

=====

What did the first record say?
{"formula": "MgTiAgSn", "functional": "PBE", "state": "relaxed", "cell": [[-4.510, 0.965, -1.340], [-3.381, -3.395, 0.329], [-3.461, 0.371, 3.309]], "species": ["Sn", "Ti", "Mg", "Ag"], "fractional_positions": [[0.500, 0.500, 0.500], [0.750, 0.750, 0.750], [0.250, 0.250, 0.250], [0.000, 0.000, 0.000]], "dft_energy_ev_per_cell": -16.54, "formation_energy_mev_per_atom": -48, "sg": "F-43m, No. 216"}